Entry 1:
PBE Zr5SnSb3, relaxed; E_tot = -7.24 eV/atom; M_tot = 0.01 Bohr magnetons per cell; volume = 22.27 Å³ per atom
1.0
-2.917 7.763 3.041
-4.443 -7.411 1.831
3.227 -0.717 4.927
Zr Sb Sn
10 6 2
direct
0.718 0.000 0.250
0.667 0.333 0.500
0.000 0.282 0.750
0.333 0.667 0.500
0.333 0.667 0.000
0.000 0.718 0.250
0.667 0.333 0.000
0.282 0.282 0.250
0.282 0.000 0.750
0.718 0.718 0.750
0.000 0.613 0.750
0.000 0.387 0.250
0.387 0.000 0.250
0.613 0.613 0.250
0.613 0.000 0.750
0.387 0.387 0.750
0.000 0.000 0.000
0.000 0.000 0.500

Entry 2:
PBE NdSmAgS3, relaxed; E_tot = -5.57 eV/atom; M_tot = 0.04 Bohr magnetons per cell; distance to the lowest polymorph of the same formula = 0.0655 eV per atom; volume = 22.84 Å³ per atom
1.0
1.957 -6.630 0.000
1.957 6.630 0.000
0.000 0.000 10.565
S Nd Sm Ag
6 2 2 2
direct
0.647 0.353 0.577
0.353 0.647 0.077
0.889 0.111 0.750
0.111 0.889 0.250
0.647 0.353 0.923
0.353 0.647 0.423
0.000 0.000 0.500
0.000 0.000 0.000
0.227 0.773 0.750
0.773 0.227 0.250
0.514 0.486 0.750
0.486 0.514 0.250

Entry 3:
PBE PuTlTc, relaxed; E_tot = -7.93 eV/atom; M_tot = 3.82 Bohr magnetons per cell; distance to the lowest polymorph of the same formula = 0.1296 eV per atom; volume = 23.91 Å³ per atom
1.0
0.000 3.298 3.298
3.298 0.000 3.298
3.298 3.298 0.000
Tl Pu Tc
1 1 1
direct
0.750 0.750 0.750
0.000 0.000 0.000
0.250 0.250 0.250

Entry 4:
PBE TbThTl, relaxed; E_tot = -4.64 eV/atom; M_tot = 0.07 Bohr magnetons per cell; volume = 34.01 Å³ per atom
1.0
0.000 3.709 3.709
3.709 0.000 3.709
3.709 3.709 0.000
Th Tb Tl
1 1 1
direct
0.750 0.750 0.750
0.250 0.250 0.250
0.000 0.000 0.000

Entry 5:
PBE Nd2ReB5Os2, relaxed; E_tot = -8.24 eV/atom; M_tot = 0.00 Bohr magnetons per cell; volume = 14.50 Å³ per atom
1.0
5.334 -2.048 0.000
5.334 2.048 0.000
-4.677 0.000 6.638
Os Nd B Re
2 2 5 1
direct
0.612 0.123 0.597
0.877 0.388 0.403
0.069 0.604 0.243
0.396 0.931 0.757
0.087 0.625 0.688
0.528 0.522 0.119
0.375 0.913 0.312
0.478 0.472 0.881
0.735 0.265 0.500
0.010 0.990 0.000

Entry 6:
PBE Hf2ZnPt2, relaxed; E_tot = -7.02 eV/atom; M_tot = 0.45 Bohr magnetons per cell; energy of formation from the pure elements = -362 meV per atom; volume = 20.25 Å³ per atom
1.0
4.161 -5.008 3.494
-1.131 -6.104 4.009
-1.425 4.055 -6.011
Pt Zn Hf
2 1 2
direct
0.250 0.750 0.500
0.750 0.250 0.500
0.000 0.000 0.000
0.389 0.389 0.000
0.611 0.611 0.000

> Among the records above, which one has the highest volume?

TbThTl

> Among the records above, which one has the highest volume?

TbThTl